# 1
This record from the Alexandria database describes an optimized crystal structure of LiSm2F. The functional is PBE.

Its density of states at the Fermi level is 4.431 states/eV/f.u. As for the total magnetic moment: 0.00 μB per formula unit. For the final energy, the calculation gives -49.989 eV for the cell shown. The formation energy (no corrections) is -860 meV per atom.

The space group is R-3m (No. 166, hexagonal axes) and the conventional cell measures 3.3824, 3.3824 and 30.4710 Å, with angles of 90.00, 90.00 and 120.00 degrees. Symmetry generates all atoms from Li at (0.0000, 0.0000, 0.0000), Sm at (0.0000, 0.0000, 0.1062) and F at (0.0000, 0.0000, 0.5000).


# 2
This record from the Alexandria database describes an optimized crystal structure of Li2Sm2F7. The functional is PBE.

Its density of states at the Fermi level is 0.136 states/eV/f.u. As for the total magnetic moment: 1.00 μB per formula unit. For the final energy, the calculation gives -64.250 eV for the cell shown. The formation energy (no corrections) is -3444 meV per atom.

The space group is P-1 (No. 2) and the conventional cell measures 5.274, 5.356 and 5.609 Å, with angles of 74.61, 89.38 and 83.47 degrees. Symmetry generates all atoms from Li at (0.210, 0.483, 0.192), Sm at (0.248, 0.062, 0.737), F at (0.000, 0.500, 0.500), F at (0.039, 0.238, 0.039), F at (0.428, 0.762, 0.101) and F at (0.468, 0.241, 0.383).